## AcZrV2O8 (PBE+U)

Data for a relaxed structure of AcZrV2O8.

Lattice parameters (Å, degrees): 6.131 6.131 6.131 105.91 105.91 116.86
Atoms (fractional coordinates):
Ac1 0.000 0.000 0.000
Zr1 0.250 0.750 0.500
V1 0.500 0.500 0.000
V2 0.750 0.250 0.500
O1 0.340 0.149 0.809
O2 0.340 0.530 0.191
O3 0.372 0.039 0.333
O4 0.470 0.660 0.809
O5 0.706 0.039 0.667
O6 0.851 0.660 0.191
O7 0.961 0.294 0.333
O8 0.961 0.628 0.667

## Properties
Symmetry: I-4m2 (119)
E: -98.06 eV per cell